Entry 1:
MgAlZn after structural relaxation, computed with PBE.

## Properties
excess energy over the best structure of this formula in the dataset	53	meV/atom
DFT total energy	-2.21	eV per atom

Cell: 4.208 4.135 6.459 Å, 90.00 109.01 90.00°
Element x y z (fractional)
Mg  0.910  0.250  0.819
Mg  0.090  0.750  0.181
Al  0.592  0.250  0.184
Al  0.408  0.750  0.816
Zn  0.250  0.250  0.500
Zn  0.750  0.750  0.500


Entry 2:
MgAlZn after structural relaxation, computed with PBE.

## Properties
excess energy over the best structure of this formula in the dataset	69	meV/atom
DFT total energy	-2.20	eV per atom

Cell: 5.134 5.134 5.134 Å, 146.45 133.70 58.38°
Element x y z (fractional)
Mg  0.332  0.332  0.000
Zn  0.659  0.659  0.000
Al  0.009  0.009  0.000


Entry 3:
MgAl2Zn after structural relaxation, computed with PBE.

## Properties
DFT total energy	-2.57	eV per atom

Cell: 4.551 2.964 5.386 Å, 80.24 90.00 90.00°
Element x y z (fractional)
Mg  0.500  0.250  0.250
Zn  0.500  0.750  0.750
Al  0.000  0.860  0.991
Al  0.000  0.640  0.509


Entry 4:
Mg6AlZn2 after structural relaxation, computed with PBE.

## Properties
excess energy over the best structure of this formula in the dataset	219	meV/atom
DFT total energy	-1.57	eV per atom

Cell: 6.911 6.911 9.458 Å, 90.00 90.00 90.00°
Element x y z (fractional)
Mg  0.256  0.256  0.336
Mg  0.744  0.744  0.336
Mg  0.244  0.756  0.836
Mg  0.756  0.244  0.836
Mg  0.244  0.756  0.164
Mg  0.756  0.244  0.164
Mg  0.256  0.256  0.664
Mg  0.744  0.744  0.664
Mg  0.315  0.315  0.000
Mg  0.685  0.685  0.000
Mg  0.185  0.815  0.500
Mg  0.815  0.185  0.500
Al  0.000  0.000  0.000
Al  0.500  0.500  0.500
Zn  0.000  0.000  0.274
Zn  0.500  0.500  0.774
Zn  0.500  0.500  0.226
Zn  0.000  0.000  0.726


Entry 5:
MgAl4Zn after structural relaxation, computed with PBE.

## Properties
excess energy over the best structure of this formula in the dataset	0	meV/atom
DFT total energy	-2.96	eV per atom

Cell: 4.007 6.484 8.356 Å, 90.00 90.00 108.00°
Element x y z (fractional)
Mg  0.333  0.667  0.305
Mg  0.667  0.333  0.805
Al  0.994  0.988  0.802
Al  0.006  0.012  0.302
Al  0.500  0.001  0.053
Al  0.500  0.999  0.553
Al  0.166  0.331  0.551
Al  0.834  0.669  0.051
Al  0.336  0.673  0.801
Al  0.664  0.327  0.301
Zn  0.168  0.335  0.054
Zn  0.832  0.665  0.554


Entry 6:
Mg3AlZn8 after structural relaxation, computed with PBE.

## Properties
DFT total energy	-1.62	eV per atom

Cell: 5.251 5.251 8.879 Å, 72.80 72.80 60.00°
Element x y z (fractional)
Mg  0.375  0.375  0.875
Mg  0.998  0.998  0.005
Mg  0.501  0.501  0.496
Al  0.874  0.874  0.377
Zn  0.936  0.437  0.189
Zn  0.438  0.938  0.686
Zn  0.437  0.437  0.189
Zn  0.938  0.938  0.686
Zn  0.188  0.188  0.437
Zn  0.688  0.688  0.937
Zn  0.437  0.936  0.189
Zn  0.938  0.438  0.686


Entry 7:
MgAl2Zn after structural relaxation, computed with PBE.

## Properties
DFT total energy	-2.58	eV per atom

Cell: 4.035 4.035 4.284 Å, 90.00 90.00 90.00°
Element x y z (fractional)
Mg  0.500  0.000  0.500
Zn  0.000  0.500  0.500
Al  0.000  0.000  0.000
Al  0.500  0.500  0.000


Entry 8:
Mg6AlZn after structural relaxation, computed with PBE.

## Properties
excess energy over the best structure of this formula in the dataset	2	meV/atom
DFT total energy	-1.81	eV per atom

Cell: 4.575 4.575 8.658 Å, 74.68 74.68 90.00°
Element x y z (fractional)
Mg  0.750  0.750  0.500
Mg  0.613  0.113  0.775
Mg  0.113  0.613  0.775
Mg  0.387  0.887  0.225
Mg  0.250  0.250  0.500
Mg  0.887  0.387  0.225
Al  0.500  0.500  0.000
Zn  0.000  0.000  0.000


Entry 9:
MgAl3Zn3 after structural relaxation, computed with PBE.

## Properties
excess energy over the best structure of this formula in the dataset	0	meV/atom
DFT total energy	-2.36	eV per atom

Cell: 4.366 7.908 7.908 Å, 120.00 90.00 90.00°
Element x y z (fractional)
Mg  0.250  0.667  0.333
Mg  0.750  0.333  0.667
Al  0.750  0.993  0.775
Al  0.750  0.782  0.007
Al  0.250  0.775  0.782
Al  0.750  0.225  0.218
Al  0.250  0.218  0.993
Al  0.250  0.007  0.225
Zn  0.750  0.608  0.519
Zn  0.750  0.912  0.392
Zn  0.250  0.519  0.912
Zn  0.750  0.481  0.088
Zn  0.250  0.088  0.608
Zn  0.250  0.392  0.481


Entry 10:
Mg3Al2Zn4 after structural relaxation, computed with PBE.

## Properties
excess energy over the best structure of this formula in the dataset	30	meV/atom
DFT total energy	-1.95	eV per atom

Cell: 4.602 4.603 8.867 Å, 97.25 90.00 119.99°
Element x y z (fractional)
Mg  0.638  0.277  0.766
Mg  0.000  0.000  0.000
Mg  0.362  0.723  0.234
Al  0.717  0.434  0.403
Al  0.283  0.566  0.597
Zn  0.680  0.360  0.090
Zn  0.320  0.640  0.910
Zn  0.957  0.914  0.648
Zn  0.043  0.086  0.352


Entry 11:
Mg3Al2Zn4 after structural relaxation, computed with PBE.

## Properties
excess energy over the best structure of this formula in the dataset	0	meV/atom
DFT total energy	-1.97	eV per atom

Cell: 4.481 5.451 8.299 Å, 117.05 90.00 114.27°
Element x y z (fractional)
Mg  0.663  0.326  0.672
Mg  0.000  0.000  0.000
Mg  0.337  0.674  0.328
Al  0.615  0.231  0.282
Al  0.385  0.769  0.718
Zn  0.709  0.418  0.041
Zn  0.291  0.582  0.959
Zn  0.930  0.860  0.596
Zn  0.070  0.140  0.404


Entry 12:
MgAlZn after structural relaxation, computed with PBE.

## Properties
excess energy over the best structure of this formula in the dataset	390	meV/atom
DFT total energy	-1.88	eV per atom

Cell: 4.530 4.530 4.530 Å, 60.00 60.00 60.00°
Element x y z (fractional)
Al  0.500  0.500  0.500
Mg  0.750  0.750  0.750
Zn  0.000  0.000  0.000


Entry 13:
Mg2AlZn3 after structural relaxation, computed with PBE.

## Properties
excess energy over the best structure of this formula in the dataset	26	meV/atom
DFT total energy	-1.84	eV per atom

Cell: 5.408 5.408 8.888 Å, 114.14 114.14 69.87°
Element x y z (fractional)
Mg  0.750  0.250  0.500
Mg  0.752  0.248  0.000
Mg  0.250  0.750  0.500
Mg  0.248  0.752  0.000
Al  0.667  0.667  0.333
Al  0.333  0.333  0.667
Zn  0.833  0.833  0.165
Zn  0.668  0.668  0.835
Zn  0.167  0.167  0.835
Zn  0.332  0.332  0.165
Zn  0.166  0.166  0.332
Zn  0.834  0.834  0.668


Entry 14:
MgAl6Zn after structural relaxation, computed with PBE.

## Properties
excess energy over the best structure of this formula in the dataset	0	meV/atom
DFT total energy	-3.16	eV per atom

Cell: 4.099 8.181 5.763 Å, 135.22 90.00 90.00°
Element x y z (fractional)
Mg  0.000  0.869  0.738
Al  0.000  0.879  0.249
Al  0.000  0.370  0.249
Al  0.000  0.379  0.758
Al  0.500  0.620  0.752
Al  0.500  0.132  0.752
Al  0.500  0.128  0.256
Zn  0.500  0.623  0.246


Entry 15:
Mg7Al2Zn2 after structural relaxation, computed with PBE.

## Properties
DFT total energy	-1.95	eV per atom

Cell: 5.589 5.589 7.400 Å, 100.00 100.00 96.22°
Element x y z (fractional)
Mg  0.897  0.525  0.187
Mg  0.475  0.103  0.813
Mg  0.103  0.475  0.813
Mg  0.525  0.897  0.187
Mg  0.000  0.000  0.000
Mg  0.851  0.851  0.585
Mg  0.149  0.149  0.415
Al  0.326  0.674  0.500
Al  0.674  0.326  0.500
Zn  0.619  0.619  0.829
Zn  0.381  0.381  0.171


Entry 16:
MgAl2Zn6 after structural relaxation, computed with PBE.

## Properties
excess energy over the best structure of this formula in the dataset	0	meV/atom
DFT total energy	-1.85	eV per atom

Cell: 3.157 7.414 7.579 Å, 119.28 102.70 90.00°
Element x y z (fractional)
Mg  0.000  0.000  0.000
Al  0.150  0.643  0.286
Al  0.850  0.357  0.714
Zn  0.328  0.648  0.647
Zn  0.672  0.352  0.353
Zn  0.672  0.001  0.353
Zn  0.500  0.326  0.000
Zn  0.500  0.674  0.000
Zn  0.328  0.999  0.647


Entry 17:
MgAl14Zn after structural relaxation, computed with PBE.

## Properties
DFT total energy	-3.43	eV per atom

Cell: 5.715 5.715 9.557 Å, 90.00 90.00 119.97°
Element x y z (fractional)
Mg  0.167  0.833  0.000
Al  0.667  0.333  0.500
Al  0.167  0.833  0.500
Al  0.170  0.335  0.000
Al  0.165  0.332  0.500
Al  0.665  0.830  0.000
Al  0.668  0.835  0.500
Al  0.334  0.170  0.747
Al  0.334  0.170  0.253
Al  0.830  0.666  0.747
Al  0.830  0.666  0.253
Al  0.833  0.167  0.752
Al  0.833  0.167  0.248
Al  0.335  0.665  0.747
Al  0.335  0.665  0.253
Zn  0.666  0.334  0.000


Entry 18:
MgAl2Zn after structural relaxation, computed with PBE.

## Properties
DFT total energy	-2.57	eV per atom

Cell: 5.234 5.234 5.080 Å, 77.65 77.65 31.28°
Element x y z (fractional)
Mg  0.750  0.750  0.750
Zn  0.250  0.250  0.250
Al  0.991  0.991  0.008
Al  0.509  0.509  0.492


Entry 19:
Mg6AlZn after structural relaxation, computed with PBE.

## Properties
excess energy over the best structure of this formula in the dataset	9	meV/atom
DFT total energy	-1.81	eV per atom

Cell: 7.734 7.738 5.491 Å, 45.25 45.38 60.38°
Element x y z (fractional)
Mg  0.004  0.500  0.747
Mg  0.749  0.999  0.753
Mg  0.499  0.251  0.253
Mg  0.251  0.001  0.247
Mg  0.996  0.500  0.253
Mg  0.501  0.749  0.747
Al  0.000  0.000  0.000
Zn  0.500  0.500  0.500


Entry 20:
Mg16AlZn12 after structural relaxation, computed with PBE.

## Properties
DFT total energy	-1.60	eV per atom

Cell: 8.629 8.629 8.988 Å, 108.21 108.21 107.57°
Element x y z (fractional)
Mg  0.332  0.332  0.303
Mg  0.998  0.998  0.003
Mg  0.997  0.997  0.658
Mg  0.306  0.306  0.707
Mg  0.667  0.412  0.009
Mg  0.600  0.308  0.609
Mg  0.006  0.679  0.400
Mg  0.005  0.641  0.006
Mg  0.701  0.322  0.315
Mg  0.400  0.994  0.674
Mg  0.994  0.400  0.674
Mg  0.322  0.701  0.315
Mg  0.641  0.005  0.006
Mg  0.679  0.006  0.400
Mg  0.308  0.600  0.609
Mg  0.412  0.667  0.009
Al  0.643  0.643  0.335
Zn  0.820  0.820  0.185
Zn  0.652  0.652  0.843
Zn  0.351  0.162  0.977
Zn  0.833  0.643  0.645
Zn  0.192  0.001  0.364
Zn  0.362  0.985  0.170
Zn  0.185  0.803  0.815
Zn  0.803  0.185  0.815
Zn  0.985  0.362  0.170
Zn  0.001  0.192  0.364
Zn  0.643  0.833  0.645
Zn  0.162  0.351  0.977


Entry 21:
Mg6AlZn2 after structural relaxation, computed with PBE.

## Properties
excess energy over the best structure of this formula in the dataset	0	meV/atom
DFT total energy	-1.79	eV per atom

Cell: 7.849 7.849 7.849 Å, 104.44 109.33 114.82°
Element x y z (fractional)
Mg  0.532  0.812  0.720
Mg  0.468  0.188  0.280
Mg  0.092  0.812  0.280
Mg  0.908  0.188  0.720
Mg  0.804  0.058  0.254
Mg  0.196  0.942  0.746
Mg  0.196  0.449  0.254
Mg  0.804  0.551  0.746
Mg  0.714  0.328  0.042
Mg  0.286  0.672  0.958
Mg  0.286  0.328  0.613
Mg  0.714  0.672  0.387
Al  0.000  0.500  0.500
Al  0.000  0.000  0.000
Zn  0.500  0.131  0.631
Zn  0.500  0.869  0.369
Zn  0.659  0.659  0.000
Zn  0.341  0.341  0.000


Entry 22:
MgAl2Zn after structural relaxation, computed with PBE.

## Properties
DFT total energy	-2.55	eV per atom

Cell: 3.260 3.260 6.718 Å, 90.00 90.00 90.00°
Element x y z (fractional)
Al  0.000  0.000  0.992
Al  0.500  0.500  0.226
Mg  0.000  0.000  0.510
Zn  0.500  0.500  0.772